[1]
Y2B10Rh: optimized geometry, GGA-PBE.

Summary:
Symmetry   No. 55
DOS(E_F)   0.161 states/eV/atom
Formation enthalpy at 0 K   -0.52 eV/atom

The structure in POSCAR format:
```
Y2B10Rh
1.0
5.6866 0.0000 0.0000
0.0000 11.3177 0.0000
0.0000 0.0000 4.1656
Y B Rh
4 20 2
direct
0.1999 0.1363 0.0000 Y
0.3001 0.6363 0.0000 Y
0.6999 0.3637 0.0000 Y
0.8001 0.8637 0.0000 Y
0.0550 0.3071 0.5000 B
0.1187 0.9575 0.5000 B
0.1376 0.8024 0.5000 B
0.2193 0.3810 0.1986 B
0.2193 0.3810 0.8014 B
0.2807 0.8810 0.1986 B
0.2807 0.8810 0.8014 B
0.3624 0.3024 0.5000 B
0.3813 0.4575 0.5000 B
0.4450 0.8071 0.5000 B
0.5550 0.1929 0.5000 B
0.6187 0.5425 0.5000 B
0.6376 0.6976 0.5000 B
0.7193 0.1190 0.1986 B
0.7193 0.1190 0.8014 B
0.7807 0.6190 0.1986 B
0.7807 0.6190 0.8014 B
0.8624 0.1976 0.5000 B
0.8813 0.0425 0.5000 B
0.9450 0.6929 0.5000 B
0.0000 0.5000 0.5000 Rh
0.5000 0.0000 0.5000 Rh
```

=====

[2]
YBRh2: optimized geometry, GGA-PBE.

Summary:
Symmetry   No. 62
DOS(E_F)   0.885 states/eV/atom
Formation enthalpy at 0 K   -0.58 eV/atom

The structure in POSCAR format:
```
YBRh2
1.0
6.5004 0.0000 0.0000
0.0000 6.8999 0.0000
0.0000 0.0000 5.2703
Y B Rh
4 4 8
direct
0.0204 0.2500 0.1137 Y
0.4796 0.7500 0.6137 Y
0.5204 0.2500 0.3863 Y
0.9796 0.7500 0.8863 Y
0.1089 0.7500 0.3821 B
0.3911 0.2500 0.8821 B
0.6089 0.7500 0.1179 B
0.8911 0.2500 0.6179 B
0.1695 0.0522 0.6307 Rh
0.1695 0.4478 0.6307 Rh
0.3305 0.5522 0.1307 Rh
0.3305 0.9478 0.1307 Rh
0.6695 0.0522 0.8693 Rh
0.6695 0.4478 0.8693 Rh
0.8305 0.5522 0.3693 Rh
0.8305 0.9478 0.3693 Rh
```

=====

[3]
YB2Rh5: optimized geometry, GGA-PBE.

Summary:
Symmetry   No. 71
DOS(E_F)   0.761 states/eV/atom
Formation enthalpy at 0 K   -0.46 eV/atom

The structure in POSCAR format:
```
YB2Rh5
1.0
-1.9444 2.9210 4.8934
1.9444 -2.9210 4.8934
1.9444 2.9210 -4.8934
Y B Rh
1 2 5
direct
0.0000 0.0000 0.0000 Y
0.2866 0.7866 0.5000 B
0.7134 0.2134 0.5000 B
0.1249 0.3491 0.7758 Rh
0.4266 0.6509 0.7758 Rh
0.5000 0.0000 0.5000 Rh
0.5734 0.3491 0.2242 Rh
0.8751 0.6509 0.2242 Rh
```

=====

[4]
YBRh2: optimized geometry, GGA-PBE.

Summary:
Symmetry   No. 191
DOS(E_F)   1.297 states/eV/atom
Formation enthalpy at 0 K   -0.03 eV/atom

The structure in POSCAR format:
```
YBRh2
1.0
4.1666 0.0000 0.0000
-2.0833 3.6084 0.0000
0.0000 0.0000 4.8007
Y B Rh
1 1 2
direct
0.0000 0.0000 0.0000 Y
0.0000 0.0000 0.5000 B
0.3333 0.6667 0.5000 Rh
0.6667 0.3333 0.5000 Rh
```

=====

[5]
YBRh2: optimized geometry, GGA-PBE.

Summary:
Symmetry   No. 122
DOS(E_F)   0.183 states/eV/atom
Formation enthalpy at 0 K   -0.61 eV/atom

The structure in POSCAR format:
```
YBRh2
1.0
-3.4343 3.4343 2.7191
3.4343 -3.4343 2.7191
3.4343 3.4343 -2.7191
Y B Rh
2 2 4
direct
0.0000 0.0000 0.0000 Y
0.7500 0.2500 0.5000 Y
0.2500 0.7500 0.5000 B
0.5000 0.5000 0.0000 B
0.2398 0.1250 0.6148 Rh
0.3750 0.7602 0.8852 Rh
0.5102 0.6250 0.3852 Rh
0.8750 0.4898 0.1148 Rh
```

=====

[6]
YB3Rh6: optimized geometry, GGA-PBE.

Summary:
Symmetry   No. 146
DOS(E_F)   0.556 states/eV/atom
Formation enthalpy at 0 K   -0.43 eV/atom

The structure in POSCAR format:
```
YB3Rh6
1.0
2.7265 1.5741 5.1967
-2.7265 1.5741 5.1967
0.0000 -3.1483 5.1967
Y B Rh
1 3 6
direct
0.0000 0.0000 0.0000 Y
0.1723 0.1723 0.1723 B
0.3707 0.3707 0.3707 B
0.7045 0.7045 0.7045 B
0.1257 0.5427 0.7040 Rh
0.4336 0.9410 0.4484 Rh
0.4484 0.4336 0.9410 Rh
0.5427 0.7040 0.1257 Rh
0.7040 0.1257 0.5427 Rh
0.9410 0.4484 0.4336 Rh
```

=====

[7]
Y2BRh: optimized geometry, GGA-PBE.

Summary:
Symmetry   No. 122
DOS(E_F)   0.586 states/eV/atom
Formation enthalpy at 0 K   0.14 eV/atom

The structure in POSCAR format:
```
Y2BRh
1.0
-3.5260 3.5260 3.4277
3.5260 -3.5260 3.4277
3.5260 3.5260 -3.4277
Y B Rh
4 2 2
direct
0.1012 0.6250 0.9762 Y
0.3750 0.3512 0.4762 Y
0.6488 0.1250 0.0238 Y
0.8750 0.8988 0.5238 Y
0.0000 0.0000 0.0000 B
0.7500 0.2500 0.5000 B
0.2500 0.7500 0.5000 Rh
0.5000 0.5000 0.0000 Rh
```

=====

[8]
YBRh4: optimized geometry, GGA-PBE.

Summary:
Symmetry   No. 141
DOS(E_F)   1.355 states/eV/atom
Formation enthalpy at 0 K   0.08 eV/atom

The structure in POSCAR format:
```
YBRh4
1.0
-2.4800 2.4800 8.6789
2.4800 -2.4800 8.6789
2.4800 2.4800 -8.6789
Y B Rh
2 2 8
direct
0.3750 0.6250 0.7500 Y
0.6250 0.3750 0.2500 Y
0.1250 0.8750 0.2500 B
0.8750 0.1250 0.7500 B
0.2192 0.2204 0.5012 Rh
0.2192 0.7180 0.9988 Rh
0.2204 0.2192 0.0012 Rh
0.2820 0.7808 0.5012 Rh
0.7180 0.2192 0.4988 Rh
0.7796 0.7808 0.9988 Rh
0.7808 0.2820 0.0012 Rh
0.7808 0.7796 0.4988 Rh
```

=====

[9]
YB2Rh3: optimized geometry, GGA-PBE.

Summary:
Symmetry   No. 191
ΔE to the lowest computed polymorph   319.7 meV/atom
DOS(E_F)   0.720 states/eV/atom
Formation enthalpy at 0 K   -0.39 eV/atom

The structure in POSCAR format:
```
YB2Rh3
1.0
8.8758 0.0000 0.0000
-4.4379 7.6867 0.0000
0.0000 0.0000 3.5748
Y B Rh
3 6 9
direct
0.0000 0.0000 0.0000 Y
0.3333 0.6667 0.5000 Y
0.6667 0.3333 0.5000 Y
0.1892 0.3784 0.0000 B
0.1892 0.8108 0.0000 B
0.3784 0.1892 0.0000 B
0.6216 0.8108 0.0000 B
0.8108 0.1892 0.0000 B
0.8108 0.6216 0.0000 B
0.0000 0.2835 0.5000 Rh
0.0000 0.5000 0.0000 Rh
0.0000 0.7165 0.5000 Rh
0.2835 0.0000 0.5000 Rh
0.2835 0.2835 0.5000 Rh
0.5000 0.0000 0.0000 Rh
0.5000 0.5000 0.0000 Rh
0.7165 0.0000 0.5000 Rh
0.7165 0.7165 0.5000 Rh
```

=====

[10]
YBRh2: optimized geometry, GGA-PBE.

Summary:
Symmetry   No. 166
DOS(E_F)   0.395 states/eV/atom
Formation enthalpy at 0 K   -0.40 eV/atom

The structure in POSCAR format:
```
YBRh2
1.0
1.7329 1.0005 6.1556
-1.7329 1.0005 6.1556
0.0000 -2.0010 6.1556
Y B Rh
1 1 2
direct
0.0000 0.0000 0.0000 Y
0.5000 0.5000 0.5000 B
0.2172 0.2172 0.2172 Rh
0.7828 0.7828 0.7828 Rh
```

=====

[11]
YB4Rh8: optimized geometry, GGA-PBE.

Summary:
Symmetry   No. 139
DOS(E_F)   0.674 states/eV/atom
Formation enthalpy at 0 K   -0.07 eV/atom

The structure in POSCAR format:
```
YB4Rh8
1.0
-4.0889 4.0889 2.4442
4.0889 -4.0889 2.4442
4.0889 4.0889 -2.4442
Y B Rh
1 4 8
direct
0.0000 0.0000 0.0000 Y
0.0000 0.0000 0.5000 B
0.0000 0.5000 0.0000 B
0.5000 0.0000 0.0000 B
0.5000 0.5000 0.5000 B
0.0000 0.3334 0.3334 Rh
0.0000 0.6666 0.6666 Rh
0.2750 0.5000 0.7750 Rh
0.3334 0.0000 0.3334 Rh
0.5000 0.2750 0.7750 Rh
0.5000 0.7250 0.2250 Rh
0.6666 0.0000 0.6666 Rh
0.7250 0.5000 0.2250 Rh
```

=====

[12]
YB3Rh: optimized geometry, GGA-PBE.

Summary:
Symmetry   No. 221
ΔE to the lowest computed polymorph   0.0 meV/atom
DOS(E_F)   1.269 states/eV/atom
Formation enthalpy at 0 K   0.39 eV/atom

The structure in POSCAR format:
```
YB3Rh
1.0
4.0753 0.0000 0.0000
0.0000 4.0753 0.0000
0.0000 0.0000 4.0753
Y B Rh
1 3 1
direct
0.0000 0.0000 0.0000 Y
0.0000 0.5000 0.5000 B
0.5000 0.0000 0.5000 B
0.5000 0.5000 0.0000 B
0.5000 0.5000 0.5000 Rh
```